Record 1
Below is a geometry-optimized ZrIr2Se structure, with properties calculated at the PBE level.

Results
**Raw formation energy**: 0.082 eV per atom
**SG**: No. 160
**Calculated density**: 13.7 Mg/m³
**Total energy**: -29.4 eV for the cell shown
**Crystal system**: trigonal

abc: 8.924 8.924 8.924
angles: 19.23 19.23 19.23
Atoms (fractional coordinates):
Zr: 0.000 0.000 0.000
Ir: 0.245 0.245 0.245
Ir: 0.497 0.497 0.497
Se: 0.754 0.754 0.754



Record 2
Below is a geometry-optimized HgMo2Pt structure, with properties calculated at the PBE level.

Results
**SG**: No. 12
**Calculated density**: 14.3 Mg/m³
**Total energy**: -26.9 eV for the cell shown
**Formation enthalpy at 0 K**: 1.11 eV per formula unit
**Crystal system**: monoclinic

abc: 5.088 5.088 4.703
angles: 101.06 101.06 34.83
Atoms (fractional coordinates):
Hg: 0.000 0.000 0.000
Mo: 0.244 0.244 0.718
Mo: 0.756 0.756 0.282
Pt: 0.500 0.500 0.500



Record 3
Below is a geometry-optimized AlVCo2 structure, with properties calculated at the PBE level.

Results
**SG**: No. 123
**Calculated density**: 6.8 Mg/m³
**Total energy**: -28.4 eV for the cell shown
**Formation enthalpy at 0 K**: -1.37 eV per formula unit
**Crystal system**: tetragonal

abc: 4.123 4.123 2.797
angles: 90.00 90.00 90.00
Atoms (fractional coordinates):
Al: 0.000 0.000 0.000
V: 0.500 0.500 0.000
Co: 0.000 0.500 0.500
Co: 0.500 0.000 0.500



Record 4
Below is a geometry-optimized CdReHg2 structure, with properties calculated at the PBE level.

Results
**SG**: No. 65
**Calculated density**: 15.1 Mg/m³
**Total energy**: -11.2 eV for the cell shown
**Formation enthalpy at 0 K**: 2.73 eV per formula unit
**Crystal system**: orthorhombic

abc: 5.299 5.299 2.930
angles: 90.00 90.00 111.14
Atoms (fractional coordinates):
Cd: 0.000 0.000 0.000
Re: 0.500 0.500 0.000
Hg: 0.000 0.500 0.500
Hg: 0.500 0.000 0.500



Record 5
Below is a geometry-optimized SrAc2Au4 structure, with properties calculated at the PBE level.

Results
**SG**: No. 122
**Calculated density**: 10.6 Mg/m³
**Total energy**: -57.0 eV for the cell shown
**Formation enthalpy at 0 K**: -5.51 eV per formula unit
**Crystal system**: tetragonal

abc: 8.152 8.152 8.152
angles: 109.46 109.46 109.50
Atoms (fractional coordinates):
Sr: 0.000 0.000 0.000
Sr: 0.750 0.250 0.500
Ac: 0.249 0.625 0.124
Ac: 0.375 0.499 0.624
Ac: 0.501 0.125 0.876
Ac: 0.875 0.751 0.376
Au: 0.128 0.210 0.750
Au: 0.128 0.710 0.750
Au: 0.290 0.040 0.418
Au: 0.460 0.378 0.250
Au: 0.622 0.872 0.082
Au: 0.622 0.872 0.582
Au: 0.790 0.540 0.918
Au: 0.960 0.378 0.250



Record 6
Below is a geometry-optimized Rb2CeOsO6 structure, with properties calculated at the PBE level.

Results
**Raw formation energy**: -1.944 eV per atom
**SG**: No. 225
**Calculated density**: 6.5 Mg/m³
**Total energy**: -68.3 eV for the cell shown
**Crystal system**: cubic

abc: 5.987 5.987 5.987
angles: 60.00 60.00 60.00
Atoms (fractional coordinates):
Rb: 0.250 0.250 0.250
Rb: 0.750 0.750 0.750
Ce: 0.000 0.000 0.000
Os: 0.500 0.500 0.500
O: 0.271 0.271 0.729
O: 0.271 0.729 0.271
O: 0.271 0.729 0.729
O: 0.729 0.271 0.271
O: 0.729 0.271 0.729
O: 0.729 0.729 0.271



Record 7
Below is a geometry-optimized Th2Al4ZnPd3 structure, with properties calculated at the PBE level.

Results
**SG**: No. 115
**Calculated density**: 8.2 Mg/m³
**Total energy**: -54.1 eV for the cell shown
**Formation enthalpy at 0 K**: -7.41 eV per formula unit
**Crystal system**: tetragonal

abc: 4.324 4.324 10.365
angles: 90.00 90.00 90.00
Atoms (fractional coordinates):
Th: 0.000 0.500 0.247
Th: 0.500 0.000 0.753
Al: 0.000 0.000 0.500
Al: 0.000 0.500 0.866
Al: 0.500 0.000 0.134
Al: 0.500 0.500 0.500
Zn: 0.500 0.500 0.000
Pd: 0.000 0.000 0.000
Pd: 0.000 0.500 0.629
Pd: 0.500 0.000 0.371



Record 8
Below is a geometry-optimized SrBiH2Ru structure, with properties calculated at the PBE level.

Results
**SG**: No. 123
**Calculated density**: 6.8 Mg/m³
**Total energy**: -19.8 eV for the cell shown
**Crystal system**: tetragonal

abc: 4.343 4.343 5.166
angles: 90.00 90.00 90.00
Atoms (fractional coordinates):
Sr: 0.000 0.000 0.000
Bi: 0.500 0.500 0.000
H: 0.000 0.500 0.500
H: 0.500 0.000 0.500
Ru: 0.500 0.500 0.500